1.
A relaxed structure of Cs2LaTlF6, computed with GGA-PBE.

```
data_Cs2LaTlF6
_chemical_formula_sum 'Cs4 La2 Tl2 F12'
_symmetry_space_group_name_H-M 'P 1 21/c 1'
_symmetry_Int_Tables_number 14
_cell_length_a 7.0002
_cell_length_b 7.1250
_cell_length_c 12.1324
_cell_angle_alpha 90.00
_cell_angle_beta 125.04
_cell_angle_gamma 90.00
loop_
_symmetry_equiv_pos_as_xyz
'x,y,z'
'-x,-y,-z'
'-x,y+1/2,-z+1/2'
'x,-y+1/2,z+1/2'
loop_
_atom_site_label
_atom_site_type_symbol
_atom_site_fract_x
_atom_site_fract_y
_atom_site_fract_z
_atom_site_occupancy
Cs1 Cs 0.2390 0.0377 0.2489 1
La1 La 0.5000 0.0000 0.0000 1
Tl1 Tl 0.0000 0.0000 0.5000 1
F1 F 0.1915 0.1872 0.9593 1
F2 F 0.2648 0.7352 0.9481 1
F3 F 0.3609 0.0368 0.7740 1
```

Output
Excess energy over the best structure of this formula in the dataset   0 meV/atom
E_form (uncorrected)   -300.72 kJ/mol of atoms
Calculated total energy   -5.140 eV per atom
Spin magnetization   0.00 μB/f.u.

2.
A relaxed structure of Cs2LaTlF6, computed with GGA-PBE.

```
data_Cs2LaTlF6
_chemical_formula_sum 'Cs8 La4 Tl4 F24'
_symmetry_space_group_name_H-M 'F m -3 m'
_symmetry_Int_Tables_number 225
_symmetry_space_group_name_Hall '-F 4 2 3'
_cell_length_a 10.0500
_cell_length_b 10.0500
_cell_length_c 10.0500
_cell_angle_alpha 90.00
_cell_angle_beta 90.00
_cell_angle_gamma 90.00
loop_
_atom_site_label
_atom_site_type_symbol
_atom_site_fract_x
_atom_site_fract_y
_atom_site_fract_z
_atom_site_occupancy
Cs1 Cs 0.2500 0.2500 0.2500 1
La1 La 0.0000 0.0000 0.0000 1
Tl1 Tl 0.0000 0.0000 0.5000 1
F1 F 0.0000 0.0000 0.2309 1
```

Output
Excess energy over the best structure of this formula in the dataset   25 meV/atom
E_form (uncorrected)   -298.36 kJ/mol of atoms
Calculated total energy   -5.115 eV per atom
Spin magnetization   0.00 μB/f.u.

3.
A relaxed structure of Cs2LaZn3F12, computed with GGA-PBE.

```
data_Cs2LaZn3F12
_chemical_formula_sum 'Cs6 La3 Zn9 F36'
_symmetry_space_group_name_H-M 'R -3 m'
_symmetry_Int_Tables_number 166
_symmetry_space_group_name_Hall '-R 3 2"'
_cell_length_a 7.6138
_cell_length_b 7.6138
_cell_length_c 18.8540
_cell_angle_alpha 90.00
_cell_angle_beta 90.00
_cell_angle_gamma 120.00
loop_
_atom_site_label
_atom_site_type_symbol
_atom_site_fract_x
_atom_site_fract_y
_atom_site_fract_z
_atom_site_occupancy
Cs1 Cs 0.0000 0.0000 0.1127 1
La1 La 0.0000 0.0000 0.5000 1
Zn1 Zn 0.0000 0.5000 0.0000 1
F1 F 0.0159 0.5080 0.1094 1
F2 F 0.0787 0.5393 0.3322 1
```

Output
E_form (uncorrected)   -263.87 kJ/mol of atoms
Calculated total energy   -4.563 eV per atom
Spin magnetization   0.00 μB/f.u.

4.
A relaxed structure of CsLaZnF6, computed with GGA-PBE.

```
data_CsLaZnF6
_chemical_formula_sum 'Cs4 La4 Zn4 F24'
_symmetry_space_group_name_H-M 'I m m a'
_symmetry_Int_Tables_number 74
_symmetry_space_group_name_Hall '-I 2b 2'
_cell_length_a 7.6846
_cell_length_b 8.1473
_cell_length_c 10.5034
_cell_angle_alpha 90.00
_cell_angle_beta 90.00
_cell_angle_gamma 90.00
loop_
_atom_site_label
_atom_site_type_symbol
_atom_site_fract_x
_atom_site_fract_y
_atom_site_fract_z
_atom_site_occupancy
Cs1 Cs 0.0000 0.2500 0.0880 1
La1 La 0.0000 0.0000 0.5000 1
Zn1 Zn 0.2500 0.2500 0.7500 1
F1 F 0.0000 0.2500 0.3851 1
F2 F 0.0000 0.2500 0.6699 1
F3 F 0.2364 0.0668 0.8843 1
```

Output
E_form (uncorrected)   -311.22 kJ/mol of atoms
Calculated total energy   -5.257 eV per atom
Spin magnetization   0.00 μB/f.u.

5.
A relaxed structure of Cs2LaZnF6, computed with GGA-PBE.

```
data_Cs2LaZnF6
_chemical_formula_sum 'Cs8 La4 Zn4 F24'
_symmetry_space_group_name_H-M 'F m -3 m'
_symmetry_Int_Tables_number 225
_symmetry_space_group_name_Hall '-F 4 2 3'
_cell_length_a 9.5503
_cell_length_b 9.5503
_cell_length_c 9.5503
_cell_angle_alpha 90.00
_cell_angle_beta 90.00
_cell_angle_gamma 90.00
loop_
_atom_site_label
_atom_site_type_symbol
_atom_site_fract_x
_atom_site_fract_y
_atom_site_fract_z
_atom_site_occupancy
Cs1 Cs 0.2500 0.2500 0.2500 1
La1 La 0.0000 0.0000 0.0000 1
Zn1 Zn 0.0000 0.0000 0.5000 1
F1 F 0.0000 0.0000 0.2435 1
```

Output
E_form (uncorrected)   -281.47 kJ/mol of atoms
Calculated total energy   -4.831 eV per atom
Spin magnetization   1.00 μB/f.u.

6.
A relaxed structure of CsLaZn2F8, computed with GGA-PBE.

```
data_CsLaZn2F8
_chemical_formula_sum 'Cs3 La3 Zn6 F24'
_symmetry_space_group_name_H-M 'R -3'
_symmetry_Int_Tables_number 148
_symmetry_space_group_name_Hall '-R 3'
_cell_length_a 5.7030
_cell_length_b 5.7030
_cell_length_c 24.5892
_cell_angle_alpha 90.00
_cell_angle_beta 90.00
_cell_angle_gamma 120.00
loop_
_atom_site_label
_atom_site_type_symbol
_atom_site_fract_x
_atom_site_fract_y
_atom_site_fract_z
_atom_site_occupancy
Cs1 Cs 0.0000 0.0000 0.0000 1
La1 La 0.0000 0.0000 0.5000 1
Zn1 Zn 0.0000 0.0000 0.2558 1
F1 F 0.0000 0.0000 0.3314 1
F2 F 0.0141 0.3179 0.2221 1
```

Output
E_form (uncorrected)   -283.77 kJ/mol of atoms
Calculated total energy   -4.883 eV per atom
Spin magnetization   0.10 μB/f.u.

7.
A relaxed structure of Cs2Li2F5, computed with GGA-PBE.

```
data_Cs2Li2F5
_chemical_formula_sum 'Cs4 Li4 F10'
_symmetry_space_group_name_H-M 'C 1 2/m 1'
_symmetry_Int_Tables_number 12
_cell_length_a 11.0082
_cell_length_b 3.9970
_cell_length_c 7.2534
_cell_angle_alpha 90.00
_cell_angle_beta 99.07
_cell_angle_gamma 90.00
loop_
_symmetry_equiv_pos_as_xyz
'x,y,z'
'-x,-y,-z'
'-x,y,-z'
'x,-y,z'
'x+1/2,y+1/2,z'
'-x+1/2,-y+1/2,-z'
'-x+1/2,y+1/2,-z'
'x+1/2,-y+1/2,z'
loop_
_atom_site_label
_atom_site_type_symbol
_atom_site_fract_x
_atom_site_fract_y
_atom_site_fract_z
_atom_site_occupancy
Cs1 Cs 0.0963 0.0000 0.3041 1
Li1 Li 0.1513 0.5000 0.9058 1
F1 F 0.0000 0.5000 0.0000 1
F2 F 0.1238 0.5000 0.6380 1
F3 F 0.2033 0.0000 0.8952 1
```

Output
E_form (uncorrected)   -239.05 kJ/mol of atoms
Calculated total energy   -4.132 eV per atom
Spin magnetization   1.08 μB/f.u.

8.
A relaxed structure of CsLiF2, computed with GGA-PBE.

```
data_CsLiF2
_chemical_formula_sum 'Cs2 Li2 F4'
_symmetry_space_group_name_H-M 'C 1 2 1'
_symmetry_Int_Tables_number 5
_cell_length_a 5.0083
_cell_length_b 5.0075
_cell_length_c 6.0994
_cell_angle_alpha 90.00
_cell_angle_beta 114.17
_cell_angle_gamma 90.00
loop_
_symmetry_equiv_pos_as_xyz
'x,y,z'
'-x,y,-z'
'x+1/2,y+1/2,z'
'-x+1/2,y+1/2,-z'
loop_
_atom_site_label
_atom_site_type_symbol
_atom_site_fract_x
_atom_site_fract_y
_atom_site_fract_z
_atom_site_occupancy
Cs1 Cs 0.0000 0.0000 0.0000 1
Li1 Li 0.0000 0.7486 0.5000 1
F1 F 0.1613 0.4993 0.3221 1
```

Output
Excess energy over the best structure of this formula in the dataset   154 meV/atom
E_form (uncorrected)   -255.80 kJ/mol of atoms
Calculated total energy   -4.279 eV per atom
Spin magnetization   0.08 μB/f.u.

9.
A relaxed structure of CsLiF2, computed with GGA-PBE.

```
data_CsLiF2
_chemical_formula_sum 'Cs3 Li3 F6'
_symmetry_space_group_name_H-M 'R -3 m'
_symmetry_Int_Tables_number 166
_symmetry_space_group_name_Hall '-R 3 2"'
_cell_length_a 3.5958
_cell_length_b 3.5958
_cell_length_c 21.6932
_cell_angle_alpha 90.00
_cell_angle_beta 90.00
_cell_angle_gamma 120.00
loop_
_atom_site_label
_atom_site_type_symbol
_atom_site_fract_x
_atom_site_fract_y
_atom_site_fract_z
_atom_site_occupancy
Cs1 Cs 0.0000 0.0000 0.0000 1
Li1 Li 0.0000 0.0000 0.5000 1
F1 F 0.0000 0.0000 0.1176 1
```

Output
Excess energy over the best structure of this formula in the dataset   572 meV/atom
E_form (uncorrected)   -215.52 kJ/mol of atoms
Calculated total energy   -3.861 eV per atom
Spin magnetization   0.00 μB/f.u.

10.
A relaxed structure of CsLi3F, computed with GGA-PBE.

```
data_CsLi3F
_chemical_formula_sum 'Cs1 Li3 F1'
_symmetry_space_group_name_H-M 'P m -3 m'
_symmetry_Int_Tables_number 221
_symmetry_space_group_name_Hall '-P 4 2 3'
_cell_length_a 5.1808
_cell_length_b 5.1808
_cell_length_c 5.1808
_cell_angle_alpha 90.00
_cell_angle_beta 90.00
_cell_angle_gamma 90.00
loop_
_atom_site_label
_atom_site_type_symbol
_atom_site_fract_x
_atom_site_fract_y
_atom_site_fract_z
_atom_site_occupancy
Cs1 Cs 0.0000 0.0000 0.0000 1
Li1 Li 0.0000 0.5000 0.5000 1
F1 F 0.5000 0.5000 0.5000 1
```

Output
Excess energy over the best structure of this formula in the dataset   0 meV/atom
E_form (uncorrected)   -51.84 kJ/mol of atoms
Calculated total energy   -2.231 eV per atom
Spin magnetization   0.00 μB/f.u.

11.
A relaxed structure of Cs2LiF3, computed with GGA-PBE.

```
data_Cs2LiF3
_chemical_formula_sum 'Cs8 Li4 F12'
_symmetry_space_group_name_H-M 'C m c m'
_symmetry_Int_Tables_number 63
_symmetry_space_group_name_Hall '-C 2c 2'
_cell_length_a 3.7205
_cell_length_b 19.8308
_cell_length_c 6.8574
_cell_angle_alpha 90.00
_cell_angle_beta 90.00
_cell_angle_gamma 90.00
loop_
_atom_site_label
_atom_site_type_symbol
_atom_site_fract_x
_atom_site_fract_y
_atom_site_fract_z
_atom_site_occupancy
Cs1 Cs 0.0000 0.0155 0.2500 1
Cs2 Cs 0.0000 0.1778 0.7500 1
Li1 Li 0.0000 0.3484 0.7500 1
F1 F 0.0000 0.1965 0.2500 1
F2 F 0.0000 0.4047 0.5170 1
```

Output
Excess energy over the best structure of this formula in the dataset   73 meV/atom
E_form (uncorrected)   -257.67 kJ/mol of atoms
Calculated total energy   -4.210 eV per atom
Spin magnetization   0.14 μB/f.u.

12.
A relaxed structure of Cs3LiF3, computed with GGA-PBE.

```
data_Cs3LiF3
_chemical_formula_sum 'Cs6 Li2 F6'
_symmetry_space_group_name_H-M 'P 63/m'
_symmetry_Int_Tables_number 176
_symmetry_space_group_name_Hall '-P 6c'
_cell_length_a 10.2500
_cell_length_b 10.2500
_cell_length_c 5.3549
_cell_angle_alpha 90.00
_cell_angle_beta 90.00
_cell_angle_gamma 120.00
loop_
_atom_site_label
_atom_site_type_symbol
_atom_site_fract_x
_atom_site_fract_y
_atom_site_fract_z
_atom_site_occupancy
Cs1 Cs 0.0171 0.6713 0.2500 1
Li1 Li 0.3333 0.6667 0.7500 1
F1 F 0.1578 0.6726 0.7500 1
```

Output
E_form (uncorrected)   -220.67 kJ/mol of atoms
Calculated total energy   -3.728 eV per atom
Spin magnetization   0.00 μB/f.u.

What did the tenth record say?
A relaxed structure of CsLi3F, computed with GGA-PBE.

```
data_CsLi3F
_chemical_formula_sum 'Cs1 Li3 F1'
_symmetry_space_group_name_H-M 'P m -3 m'
_symmetry_Int_Tables_number 221
_symmetry_space_group_name_Hall '-P 4 2 3'
_cell_length_a 5.1808
_cell_length_b 5.1808
_cell_length_c 5.1808
_cell_angle_alpha 90.00
_cell_angle_beta 90.00
_cell_angle_gamma 90.00
loop_
_atom_site_label
_atom_site_type_symbol
_atom_site_fract_x
_atom_site_fract_y
_atom_site_fract_z
_atom_site_occupancy
Cs1 Cs 0.0000 0.0000 0.0000 1
Li1 Li 0.0000 0.5000 0.5000 1
F1 F 0.5000 0.5000 0.5000 1
```

Output
Excess energy over the best structure of this formula in the dataset   0 meV/atom
E_form (uncorrected)   -51.84 kJ/mol of atoms
Calculated total energy   -2.231 eV per atom
Spin magnetization   0.00 μB/f.u.

Repeat the tenth record exactly.
A relaxed structure of CsLi3F, computed with GGA-PBE.

```
data_CsLi3F
_chemical_formula_sum 'Cs1 Li3 F1'
_symmetry_space_group_name_H-M 'P m -3 m'
_symmetry_Int_Tables_number 221
_symmetry_space_group_name_Hall '-P 4 2 3'
_cell_length_a 5.1808
_cell_length_b 5.1808
_cell_length_c 5.1808
_cell_angle_alpha 90.00
_cell_angle_beta 90.00
_cell_angle_gamma 90.00
loop_
_atom_site_label
_atom_site_type_symbol
_atom_site_fract_x
_atom_site_fract_y
_atom_site_fract_z
_atom_site_occupancy
Cs1 Cs 0.0000 0.0000 0.0000 1
Li1 Li 0.0000 0.5000 0.5000 1
F1 F 0.5000 0.5000 0.5000 1
```

Output
Excess energy over the best structure of this formula in the dataset   0 meV/atom
E_form (uncorrected)   -51.84 kJ/mol of atoms
Calculated total energy   -2.231 eV per atom
Spin magnetization   0.00 μB/f.u.

Q: Look up the E_form (uncorrected) of the eleventh one.
A: -257.67 kJ/mol of atoms

Q: calculated total energy of number 11 (Cs2LiF3)?
A: -4.210 eV per atom